(1)
Rb3HoTe2O9 after structural relaxation. Source: Alexandria, functional PBE.

The structure in POSCAR format:
```
Rb3HoTe2O9
1.0
-0.7426 1.9081 -5.5399
-3.7146 -3.9904 2.2718
-4.2654 5.3440 2.4124
O Ho Rb Te
9 1 3 2
direct
0.0000 0.5000 0.0000
0.6453 0.8226 0.3152
0.3547 0.1774 0.6848
0.5000 0.5000 0.0000
0.8226 0.6453 0.6848
0.8226 0.1774 0.6848
0.1774 0.3547 0.3152
0.5000 0.0000 0.0000
0.1774 0.8226 0.3152
0.0000 0.0000 0.5000
0.3333 0.6667 0.6672
0.6667 0.3333 0.3328
0.0000 0.0000 0.0000
0.6667 0.3333 0.8305
0.3333 0.6667 0.1695
```

Output
- Total energy: -5.521 eV per atom
- Formation energy (no corrections): -1.628 eV per atom
- M_tot: 0.00 μB/cell



(2)
Rb2HoTeO6 after structural relaxation. Source: Alexandria, functional PBE.

The structure in POSCAR format:
```
Rb2HoTeO6
1.0
-2.0477 -4.4688 3.4154
5.3103 -2.7332 -0.3924
2.6198 4.0952 6.9290
Rb O Te Ho
4 12 2 2
direct
0.0000 0.2500 0.2500
0.5000 0.7500 0.2500
0.5000 0.7500 0.7500
0.0000 0.2500 0.7500
0.0000 0.7501 0.2314
0.7687 0.5188 0.0000
0.2687 0.0185 0.5000
0.2687 0.4812 0.5000
0.7313 0.0185 0.5000
0.7313 0.4812 0.5000
0.0000 0.7501 0.7686
0.2313 0.9815 0.0000
0.5000 0.2499 0.7314
0.5000 0.2499 0.2686
0.7687 0.9815 0.0000
0.2313 0.5188 0.0000
0.0000 0.7501 0.0000
0.5000 0.2499 0.5000
0.5000 0.2501 0.0000
0.0000 0.7499 0.5000
```

Output
- Total energy: -5.771 eV per atom
- Formation energy (no corrections): -1.830 eV per atom
- M_tot: 2.04 μB/cell



(3)
RbHoTeO4 after structural relaxation. Source: Alexandria, functional PBE.

The structure in POSCAR format:
```
RbHoTeO4
1.0
5.8940 0.0000 -0.5765
0.0000 6.1188 0.0000
-2.9309 0.0000 7.9939
O Ho Rb Te
8 2 2 2
direct
0.0059 0.9857 0.3406
0.9941 0.4857 0.6594
0.5240 0.2500 0.7988
0.9941 0.0143 0.6594
0.4414 0.7500 0.5007
0.5586 0.2500 0.4993
0.0059 0.5143 0.3406
0.4760 0.7500 0.2012
0.8006 0.7500 0.4621
0.1994 0.2500 0.5379
0.5461 0.2500 0.1425
0.4539 0.7500 0.8575
0.8209 0.2500 0.7333
0.1791 0.7500 0.2667
```

Output
- Total energy: -6.135 eV per atom
- Formation energy (no corrections): -2.061 eV per atom
- M_tot: 0.00 μB/cell



(4)
RbHoTi2O6 after structural relaxation. Source: Alexandria, functional PBE.

The structure in POSCAR format:
```
RbHoTi2O6
1.0
-2.0918 5.5720 -2.3950
-6.5917 1.2456 3.7717
3.4502 5.2865 4.4020
Ho Rb O Ti
2 2 12 4
direct
0.7500 0.7204 0.2796
0.2500 0.2796 0.7204
0.2500 0.9033 0.0967
0.7500 0.0967 0.9033
0.1546 0.6223 0.7086
0.8901 0.3913 0.7872
0.7231 0.7279 0.0000
0.2231 0.0000 0.7279
0.8454 0.3777 0.2914
0.7769 0.0000 0.2721
0.6546 0.7086 0.6223
0.3454 0.2914 0.3777
0.3901 0.7872 0.3913
0.2769 0.2721 0.0000
0.1099 0.6087 0.2128
0.6099 0.2128 0.6087
0.3461 0.7786 0.6242
0.6539 0.2214 0.3758
0.8461 0.6242 0.7786
0.1539 0.3758 0.2214
```

Output
- Total energy: -8.058 eV per atom
- Formation energy (no corrections): -2.950 eV per atom
- M_tot: 0.00 μB/cell



(5)
Rb3Ho3TiO8 after structural relaxation. Source: Alexandria, functional PBE.

The structure in POSCAR format:
```
Rb3Ho3TiO8
1.0
6.7322 -0.0001 0.0000
-3.3661 5.8305 -0.0219
0.0000 -3.8641 6.6157
O Rb Ho Ti
8 3 3 1
direct
0.2467 0.0426 0.3388
0.7239 0.4478 0.6716
0.2040 0.9574 0.6612
0.2040 0.4080 0.6612
0.2761 0.5522 0.3284
0.7960 0.5920 0.3388
0.7960 0.0426 0.3388
0.7533 0.9574 0.6612
0.0000 0.5000 0.0000
0.5000 0.5000 0.0000
0.0000 0.0000 0.0000
0.5000 0.5000 0.5000
0.0000 0.5000 0.5000
0.5000 0.0000 0.5000
0.0000 0.0000 0.5000
```

Output
- Total energy: -7.075 eV per atom
- Formation energy (no corrections): -2.795 eV per atom
- M_tot: 0.00 μB/cell



(6)
Rb4Ho3TiO8 after structural relaxation. Source: Alexandria, functional PBE.

The structure in POSCAR format:
```
Rb4Ho3TiO8
1.0
6.8468 0.0000 0.0000
0.0000 7.5894 0.5066
-3.4234 -3.4122 4.8511
Rb O Ho Ti
4 8 3 1
direct
0.5000 0.0000 0.5000
0.5000 0.0000 0.0000
0.0000 0.0000 0.5000
0.0000 0.0000 0.0000
0.7256 0.6768 0.4511
0.2150 0.6688 0.9537
0.2745 0.3232 0.5489
0.2153 0.6691 0.4306
0.7387 0.6688 0.9537
0.2613 0.3312 0.0463
0.7847 0.3309 0.5694
0.7850 0.3312 0.0463
0.5000 0.5000 0.0000
0.0000 0.5000 0.5000
0.5000 0.5000 0.5000
0.0000 0.5000 0.0000
```

Output
- Total energy: -6.617 eV per atom
- Formation energy (no corrections): -2.544 eV per atom
- M_tot: 0.98 μB/cell



(7)
RbHoTlO3 after structural relaxation. Source: Alexandria, functional PBE.

The structure in POSCAR format:
```
RbHoTlO3
1.0
3.5076 0.0000 0.0000
0.0000 7.0778 0.0894
0.0000 -3.8209 10.4706
O Ho Rb Tl
6 2 2 2
direct
0.7500 0.4290 0.0826
0.2500 0.1247 0.8003
0.2500 0.6388 0.3386
0.7500 0.8753 0.1997
0.7500 0.3612 0.6614
0.2500 0.5710 0.9174
0.7500 0.3505 0.8742
0.2500 0.6495 0.1258
0.2500 0.2187 0.2166
0.7500 0.7813 0.7834
0.7500 0.8426 0.3973
0.2500 0.1574 0.6027
```

Output
- Total energy: -5.763 eV per atom
- Formation energy (no corrections): -1.965 eV per atom
- M_tot: 0.00 μB/cell



(8)
Rb3HoTl2O6 after structural relaxation. Source: Alexandria, functional PBE.

The structure in POSCAR format:
```
Rb3HoTl2O6
1.0
6.0916 -0.0022 0.0016
-3.0462 5.2753 0.0016
-1.0141 -1.7558 6.5417
O Tl Ho Rb
6 2 1 3
direct
0.3874 0.0614 0.1840
0.0614 0.3874 0.1840
0.2644 0.2644 0.8151
0.7356 0.7356 0.1849
0.9386 0.6126 0.8160
0.6126 0.9386 0.8160
0.6663 0.3337 0.0000
0.3337 0.6663 0.0000
0.0000 0.0000 0.0000
0.5000 0.5000 0.5000
0.1698 0.8302 0.5000
0.8302 0.1698 0.5000
```

Output
- Total energy: -5.027 eV per atom
- Formation energy (no corrections): -1.530 eV per atom
- M_tot: 0.00 μB/cell



(9)
Rb4Ho3TlO8 after structural relaxation. Source: Alexandria, functional PBE.

The structure in POSCAR format:
```
Rb4Ho3TlO8
1.0
-5.7862 -0.3715 -3.9162
0.5919 -7.6823 -0.1459
-0.2252 3.0482 6.2938
Tl Ho Rb O
1 3 4 8
direct
0.0000 0.5000 0.0000
0.5000 0.5000 0.5000
0.5000 0.5000 0.0000
0.0000 0.5000 0.5000
0.0000 0.0000 0.5000
0.0000 0.0000 0.0000
0.5000 0.0000 0.5000
0.5000 0.0000 0.0000
0.7682 0.3187 0.5364
0.7242 0.6726 0.4483
0.7177 0.6812 0.9494
0.7683 0.3188 0.0506
0.2318 0.6813 0.4636
0.2823 0.3188 0.0506
0.2758 0.3274 0.5517
0.2317 0.6812 0.9494
```

Output
- Total energy: -5.988 eV per atom
- Formation energy (no corrections): -2.261 eV per atom
- M_tot: 0.00 μB/cell



(10)
Rb2HoTlO4 after structural relaxation. Source: Alexandria, functional PBE.

The structure in POSCAR format:
```
Rb2HoTlO4
1.0
-1.0002 3.3061 0.5923
-4.7772 -0.7837 -3.6929
-1.9552 -1.7324 6.3678
O Rb Tl Ho
4 2 1 1
direct
0.0000 0.2870 0.8174
0.5000 0.2322 0.1823
0.0000 0.7130 0.1826
0.5000 0.7678 0.8177
0.5000 0.0000 0.5000
0.0000 0.5000 0.5000
0.0000 0.0000 0.0000
0.5000 0.5000 0.0000
```

Output
- Total energy: -5.411 eV per atom
- Formation energy (no corrections): -1.822 eV per atom
- M_tot: 0.00 μB/cell



(11)
Rb3HoTm2O6 after structural relaxation. Source: Alexandria, functional PBE.

The structure in POSCAR format:
```
Rb3HoTm2O6
1.0
-4.8917 -2.7543 2.1210
2.4819 -1.8336 -5.1470
4.5944 -2.6497 4.3255
O Ho Tm Rb
6 1 2 3
direct
0.9422 0.6061 0.8266
0.0578 0.3939 0.1734
0.3939 0.0578 0.1734
0.2783 0.2783 0.8266
0.7217 0.7217 0.1734
0.6061 0.9422 0.8266
0.0000 0.0000 0.0000
0.3333 0.6667 0.0000
0.6667 0.3333 0.0000
0.8332 0.1668 0.5000
0.5000 0.5000 0.5000
0.1668 0.8332 0.5000
```

Output
- Total energy: -6.580 eV per atom
- Formation energy (no corrections): -2.733 eV per atom
- M_tot: 0.00 μB/cell



(12)
Rb2HoU3O12 after structural relaxation. Source: Alexandria, functional PBE.

The structure in POSCAR format:
```
Rb2HoU3O12
1.0
-1.6723 -3.5031 6.8013
5.8753 -3.3089 3.9822
2.3797 3.4608 6.6095
O Rb Ho U
12 2 1 3
direct
0.0702 0.6886 0.6886
0.3114 0.3114 0.9298
0.0701 0.6649 0.0701
0.9299 0.3351 0.9299
0.3351 0.9299 0.9299
0.0701 0.0701 0.6649
0.6649 0.0701 0.0701
0.9298 0.3114 0.3114
0.3114 0.9298 0.3114
0.6886 0.6886 0.0702
0.9299 0.9299 0.3351
0.6886 0.0702 0.6886
0.3769 0.3769 0.3769
0.6231 0.6231 0.6231
0.0000 0.0000 0.0000
0.0000 0.5000 0.0000
0.0000 0.0000 0.5000
0.5000 0.0000 0.0000
```

Output
- Total energy: -8.445 eV per atom
- Formation energy (no corrections): -2.897 eV per atom
- M_tot: 0.00 μB/cell



Please write out number 8 again, unchanged.
Rb3HoTl2O6 after structural relaxation. Source: Alexandria, functional PBE.

The structure in POSCAR format:
```
Rb3HoTl2O6
1.0
6.0916 -0.0022 0.0016
-3.0462 5.2753 0.0016
-1.0141 -1.7558 6.5417
O Tl Ho Rb
6 2 1 3
direct
0.3874 0.0614 0.1840
0.0614 0.3874 0.1840
0.2644 0.2644 0.8151
0.7356 0.7356 0.1849
0.9386 0.6126 0.8160
0.6126 0.9386 0.8160
0.6663 0.3337 0.0000
0.3337 0.6663 0.0000
0.0000 0.0000 0.0000
0.5000 0.5000 0.5000
0.1698 0.8302 0.5000
0.8302 0.1698 0.5000
```

Output
- Total energy: -5.027 eV per atom
- Formation energy (no corrections): -1.530 eV per atom
- M_tot: 0.00 μB/cell